{
  "formula": "BaAcCdPt",
  "functional": "PBE-GGA",
  "state": "relaxed",
  "crystal_system": "cubic",
  "space_group": "No. 216",
  "formation_enthalpy_0k_mev_per_atom": -474,
  "cell": [[7.918, 0.000, 0.000], [0.000, 7.918, 0.000], [0.000, 0.000, 7.918]],
  "species": ["Ba", "Ba", "Ba", "Ba", "Ac", "Ac", "Ac", "Ac", "Cd", "Cd", "Cd", "Cd", "Pt", "Pt", "Pt", "Pt"],
  "frac_coords": [[0.000, 0.000, 0.000], [0.000, 0.500, 0.500], [0.500, 0.000, 0.500], [0.500, 0.500, 0.000], [0.000, 0.000, 0.500], [0.000, 0.500, 0.000], [0.500, 0.000, 0.000], [0.500, 0.500, 0.500], [0.250, 0.250, 0.750], [0.250, 0.750, 0.250], [0.750, 0.250, 0.250], [0.750, 0.750, 0.750], [0.250, 0.250, 0.250], [0.250, 0.750, 0.750], [0.750, 0.250, 0.750], [0.750, 0.750, 0.250]]
}

---

{
  "formula": "BaAcCdRh",
  "functional": "PBE-GGA",
  "state": "relaxed",
  "crystal_system": "cubic",
  "space_group": "No. 216",
  "formation_enthalpy_0k_mev_per_atom": -193,
  "cell": [[7.858, 0.000, 0.000], [0.000, 7.858, 0.000], [0.000, 0.000, 7.858]],
  "species": ["Ba", "Ba", "Ba", "Ba", "Ac", "Ac", "Ac", "Ac", "Cd", "Cd", "Cd", "Cd", "Rh", "Rh", "Rh", "Rh"],
  "frac_coords": [[0.000, 0.000, 0.000], [0.000, 0.500, 0.500], [0.500, 0.000, 0.500], [0.500, 0.500, 0.000], [0.000, 0.000, 0.500], [0.000, 0.500, 0.000], [0.500, 0.000, 0.000], [0.500, 0.500, 0.500], [0.250, 0.250, 0.750], [0.250, 0.750, 0.250], [0.750, 0.250, 0.250], [0.750, 0.750, 0.750], [0.250, 0.250, 0.250], [0.250, 0.750, 0.750], [0.750, 0.250, 0.750], [0.750, 0.750, 0.250]]
}

---

{
  "formula": "Ba2AcCdS5",
  "functional": "PBE-GGA",
  "state": "relaxed",
  "crystal_system": "orthorhombic",
  "energy_ev_per_atom": -4.8594,
  "space_group": "No. 36",
  "cell": [[2.201, -9.057, 0.000], [2.201, 9.057, 0.000], [0.000, 0.000, 13.160]],
  "species": ["Ba", "Ba", "Ba", "Ba", "Ac", "Ac", "Cd", "Cd", "S", "S", "S", "S", "S", "S", "S", "S", "S", "S"],
  "frac_coords": [[0.118, 0.882, 0.500], [0.123, 0.877, 0.877], [0.877, 0.123, 0.377], [0.882, 0.118, 0.000], [0.195, 0.805, 0.203], [0.805, 0.195, 0.703], [0.496, 0.504, 0.685], [0.504, 0.496, 0.185], [0.038, 0.962, 0.270], [0.300, 0.700, 0.855], [0.326, 0.674, 0.548], [0.357, 0.643, 0.188], [0.480, 0.520, 0.491], [0.520, 0.480, 0.991], [0.643, 0.357, 0.688], [0.674, 0.326, 0.048], [0.700, 0.300, 0.355], [0.962, 0.038, 0.770]]
}

---

{
  "formula": "BaAc2CdS5",
  "functional": "PBE-GGA",
  "state": "relaxed",
  "crystal_system": "tetragonal",
  "energy_ev_per_atom": -5.3073,
  "space_group": "No. 140",
  "cell": [[-4.135, 4.135, 7.247], [4.135, -4.135, 7.247], [4.135, 4.135, -7.247]],
  "species": ["Ba", "Ba", "Ac", "Ac", "Ac", "Ac", "Cd", "Cd", "S", "S", "S", "S", "S", "S", "S", "S", "S", "S"],
  "frac_coords": [[0.250, 0.250, 0.000], [0.750, 0.750, 0.000], [0.162, 0.662, 0.824], [0.338, 0.162, 0.500], [0.662, 0.838, 0.500], [0.838, 0.338, 0.176], [0.250, 0.750, 0.500], [0.750, 0.250, 0.500], [0.000, 0.000, 0.000], [0.022, 0.212, 0.500], [0.212, 0.712, 0.190], [0.288, 0.478, 0.500], [0.478, 0.978, 0.190], [0.500, 0.500, 0.000], [0.522, 0.022, 0.810], [0.712, 0.522, 0.500], [0.788, 0.288, 0.810], [0.978, 0.788, 0.500]]
}

---

{
  "formula": "BaAcCdSb",
  "functional": "PBE-GGA",
  "state": "relaxed",
  "crystal_system": "cubic",
  "energy_ev_per_atom": -3.3277,
  "space_group": "No. 216",
  "cell": [[8.275, 0.000, 0.000], [0.000, 8.275, 0.000], [0.000, 0.000, 8.275]],
  "species": ["Ba", "Ba", "Ba", "Ba", "Ac", "Ac", "Ac", "Ac", "Cd", "Cd", "Cd", "Cd", "Sb", "Sb", "Sb", "Sb"],
  "frac_coords": [[0.000, 0.000, 0.000], [0.000, 0.500, 0.500], [0.500, 0.000, 0.500], [0.500, 0.500, 0.000], [0.000, 0.000, 0.500], [0.000, 0.500, 0.000], [0.500, 0.000, 0.000], [0.500, 0.500, 0.500], [0.250, 0.250, 0.750], [0.250, 0.750, 0.250], [0.750, 0.250, 0.250], [0.750, 0.750, 0.750], [0.250, 0.250, 0.250], [0.250, 0.750, 0.750], [0.750, 0.250, 0.750], [0.750, 0.750, 0.250]]
}

---

{
  "formula": "Ba2AcCdSe5",
  "functional": "PBE-GGA",
  "state": "relaxed",
  "crystal_system": "orthorhombic",
  "energy_ev_per_atom": -4.4493,
  "space_group": "No. 36",
  "cell": [[2.258, -9.748, 0.000], [2.258, 9.748, 0.000], [0.000, 0.000, 13.299]],
  "species": ["Ba", "Ba", "Ba", "Ba", "Ac", "Ac", "Cd", "Cd", "Se", "Se", "Se", "Se", "Se", "Se", "Se", "Se", "Se", "Se"],
  "frac_coords": [[0.110, 0.890, 0.500], [0.124, 0.876, 0.132], [0.876, 0.124, 0.632], [0.890, 0.110, 0.000], [0.209, 0.791, 0.828], [0.791, 0.209, 0.328], [0.453, 0.547, 0.263], [0.547, 0.453, 0.763], [0.049, 0.951, 0.872], [0.290, 0.710, 0.489], [0.317, 0.683, 0.172], [0.364, 0.636, 0.819], [0.495, 0.505, 0.581], [0.505, 0.495, 0.081], [0.636, 0.364, 0.319], [0.683, 0.317, 0.672], [0.710, 0.290, 0.989], [0.951, 0.049, 0.372]]
}

---

{
  "formula": "BaAcCdSi",
  "functional": "PBE-GGA",
  "state": "relaxed",
  "crystal_system": "cubic",
  "energy_ev_per_atom": -3.3232,
  "space_group": "No. 216",
  "cell": [[8.050, 0.000, 0.000], [0.000, 8.050, 0.000], [0.000, 0.000, 8.050]],
  "species": ["Ba", "Ba", "Ba", "Ba", "Ac", "Ac", "Ac", "Ac", "Cd", "Cd", "Cd", "Cd", "Si", "Si", "Si", "Si"],
  "frac_coords": [[0.000, 0.000, 0.000], [0.000, 0.500, 0.500], [0.500, 0.000, 0.500], [0.500, 0.500, 0.000], [0.000, 0.000, 0.500], [0.000, 0.500, 0.000], [0.500, 0.000, 0.000], [0.500, 0.500, 0.500], [0.250, 0.250, 0.250], [0.250, 0.750, 0.750], [0.750, 0.250, 0.750], [0.750, 0.750, 0.250], [0.250, 0.250, 0.750], [0.250, 0.750, 0.250], [0.750, 0.250, 0.250], [0.750, 0.750, 0.750]]
}

---

{
  "formula": "BaAc2Cd2Sn2",
  "functional": "PBE-GGA",
  "state": "relaxed",
  "crystal_system": "trigonal",
  "space_group": "No. 166",
  "formation_enthalpy_0k_mev_per_atom": -347,
  "cell": [[2.627, 1.517, 10.229], [-2.627, 1.517, 10.229], [0.000, -3.033, 10.229]],
  "species": ["Ba", "Ac", "Ac", "Cd", "Cd", "Sn", "Sn"],
  "frac_coords": [[0.000, 0.000, 0.000], [0.131, 0.131, 0.131], [0.869, 0.869, 0.869], [0.415, 0.415, 0.415], [0.585, 0.585, 0.585], [0.258, 0.258, 0.258], [0.742, 0.742, 0.742]]
}